A plane-wave DFT calculation with meta-GGA SCAN was carried out for Zn3TeO6 at its PBEsol-relaxed geometry.

a = 14.896 Å, b = 8.867 Å, c = 10.365 Å
α = 90.00°, β = 92.96°, γ = 90.00°
Space group C2/c (No. 15)
Asymmetric unit:
Zn 0.000 0.200 0.250
Zn 0.026 0.349 0.551
Zn 0.137 0.138 0.757
Zn 0.162 0.265 0.058
Zn 0.204 0.139 0.426
Te 0.000 0.000 0.000
Te 0.164 0.498 0.304
O 0.071 0.162 0.928
O 0.072 0.023 0.159
O 0.073 0.165 0.439
O 0.073 0.498 0.929
O 0.100 0.343 0.203
O 0.109 0.341 0.699
O 0.225 0.344 0.903
O 0.239 0.349 0.398
O 0.242 0.020 0.822

Output
- ρ (g cm⁻³) = 6.12
- crystal system = monoclinic
- total moment (μB per cell) = 0.000
- total DFT energy (no corrections) (eV for the cell shown) = -1557.3